1.
# SmAg5S4

Crystalline SmAg5S4 at its relaxed geometry (PBE-GGA, the Alexandria database).

Unit cell a=8.291 b=8.291 c=8.291 alpha=151.13 beta=126.98 gamma=61.50
Element x y z (fractional)
Sm (0.000, 0.000, 0.000)
Ag (0.059, 0.322, 0.737)
Ag (0.416, 0.678, 0.737)
Ag (0.500, 0.000, 0.500)
Ag (0.584, 0.322, 0.263)
Ag (0.941, 0.678, 0.263)
S (0.201, 0.201, 0.000)
S (0.264, 0.500, 0.764)
S (0.736, 0.500, 0.236)
S (0.799, 0.799, 0.000)

## Properties
D(E_F) = 0.064 states/eV/atom
Total magnetic moment = 0.00 μB per formula unit
Raw formation energy = -491.9 meV/atom

***

2.
# Li2AlIn

Crystalline Li2AlIn at its relaxed geometry (PBE-GGA, the Alexandria database).

Unit cell a=3.475 b=3.475 c=6.156 alpha=90.00 beta=90.00 gamma=90.00
Element x y z (fractional)
Li (0.000, 0.000, 0.000)
Li (0.500, 0.500, 0.247)
Al (0.000, 0.000, 0.475)
In (0.500, 0.500, 0.752)

## Properties
D(E_F) = 0.246 states/eV/atom
DFT formation energy = -0.131 eV/atom
Total magnetic moment = 0.00 μB per formula unit

***

3.
# Ti5Al2Pd12

Crystalline Ti5Al2Pd12 at its relaxed geometry (PBE-GGA, the Alexandria database).

Unit cell a=7.860 b=7.860 c=8.651 alpha=107.80 beta=107.80 gamma=40.19
Element x y z (fractional)
Ti (0.000, 0.000, 0.000)
Ti (0.332, 0.332, 0.177)
Ti (0.354, 0.354, 0.662)
Ti (0.646, 0.646, 0.338)
Ti (0.668, 0.668, 0.823)
Al (0.251, 0.749, 0.500)
Al (0.749, 0.251, 0.500)
Pd (0.056, 0.568, 0.407)
Pd (0.079, 0.582, 0.912)
Pd (0.080, 0.080, 0.769)
Pd (0.418, 0.921, 0.088)
Pd (0.432, 0.944, 0.593)
Pd (0.491, 0.491, 0.147)
Pd (0.509, 0.509, 0.853)
Pd (0.568, 0.056, 0.407)
Pd (0.582, 0.079, 0.912)
Pd (0.920, 0.920, 0.231)
Pd (0.921, 0.418, 0.088)
Pd (0.944, 0.432, 0.593)

## Properties
D(E_F) = 0.568 states/eV/atom
DFT formation energy = -0.381 eV/atom
Total magnetic moment = 0.00 μB per formula unit

***

4.
# TmPaAu4

Crystalline TmPaAu4 at its relaxed geometry (PBE-GGA, the Alexandria database).

Unit cell a=5.281 b=5.281 c=7.764 alpha=111.22 beta=111.22 gamma=39.82
Element x y z (fractional)
Tm (0.000, 0.000, 0.000)
Pa (0.000, 0.000, 0.500)
Au (0.333, 0.333, 0.162)
Au (0.336, 0.336, 0.675)
Au (0.664, 0.664, 0.325)
Au (0.667, 0.667, 0.838)

## Properties
D(E_F) = 0.935 states/eV/atom
DFT formation energy = -0.614 eV/atom
Total magnetic moment = 0.77 μB per formula unit

***

5.
# LiTl2Rh2O6

Crystalline LiTl2Rh2O6 at its relaxed geometry (PBE-GGA, the Alexandria database).

Unit cell a=5.430 b=5.430 c=6.359 alpha=96.56 beta=96.56 gamma=121.34
Element x y z (fractional)
Li (0.000, 0.000, 0.000)
Tl (0.160, 0.840, 0.500)
Tl (0.840, 0.160, 0.500)
Rh (0.337, 0.663, 0.000)
Rh (0.663, 0.337, 0.000)
O (0.043, 0.416, 0.173)
O (0.306, 0.306, 0.830)
O (0.416, 0.043, 0.173)
O (0.584, 0.957, 0.827)
O (0.694, 0.694, 0.170)
O (0.957, 0.584, 0.827)

## Properties
D(E_F) = 0.891 states/eV/atom
Total magnetic moment = 0.00 μB per formula unit
Raw formation energy = -815.1 meV/atom

***

6.
# Pr8TlRu2

Crystalline Pr8TlRu2 at its relaxed geometry (PBE-GGA, the Alexandria database).

Unit cell a=8.529 b=8.529 c=6.572 alpha=96.17 beta=96.17 gamma=48.08
Element x y z (fractional)
Pr (0.073, 0.073, 0.338)
Pr (0.126, 0.615, 0.117)
Pr (0.298, 0.298, 0.619)
Pr (0.385, 0.874, 0.883)
Pr (0.615, 0.126, 0.117)
Pr (0.702, 0.702, 0.381)
Pr (0.874, 0.385, 0.883)
Pr (0.927, 0.927, 0.662)
Tl (0.500, 0.500, 0.500)
Ru (0.226, 0.226, 0.192)
Ru (0.774, 0.774, 0.808)

## Properties
D(E_F) = 1.120 states/eV/atom
DFT formation energy = -0.130 eV/atom
Total magnetic moment = 0.00 μB per formula unit
Distance to the lowest polymorph of the same formula = 0.000 eV/atom

***

7.
# LiFeBr2

Crystalline LiFeBr2 at its relaxed geometry (PBE-GGA, the Alexandria database).

Unit cell a=5.032 b=5.032 c=5.032 alpha=60.00 beta=60.00 gamma=60.00
Element x y z (fractional)
Li (0.000, 0.000, 0.000)
Fe (0.750, 0.750, 0.750)
Br (0.250, 0.250, 0.250)
Br (0.500, 0.500, 0.500)

## Properties
D(E_F) = 2.007 states/eV/atom
Total magnetic moment = 3.22 μB per formula unit
Distance to the lowest polymorph of the same formula = 0.859 eV/atom
Raw formation energy = 332.2 meV/atom

***

8.
# Cu3Rh2

Crystalline Cu3Rh2 at its relaxed geometry (PBE-GGA, the Alexandria database).

Unit cell a=6.799 b=5.016 c=7.795 alpha=59.49 beta=39.47 gamma=81.04
Element x y z (fractional)
Cu (0.000, 0.000, 0.000)
Cu (0.250, 0.250, 0.250)
Cu (0.412, 0.558, 0.395)
Cu (0.558, 0.412, 0.635)
Cu (0.615, 0.855, 0.692)
Cu (0.855, 0.615, 0.838)
Rh (0.000, 0.433, 0.096)
Rh (0.154, 0.779, 0.250)
Rh (0.433, 0.000, 0.471)
Rh (0.779, 0.154, 0.817)

## Properties
D(E_F) = 1.349 states/eV/atom
DFT formation energy = 0.120 eV/atom
Total magnetic moment = 0.00 μB per formula unit
Distance to the lowest polymorph of the same formula = 0.086 eV/atom

***

| no. | DFT total energy (eV/atom) |
| --- | --- |
| 1 | -4.040 |
| 2 | -2.708 |
| 3 | -6.132 |
| 4 | -5.127 |
| 5 | -5.460 |
| 6 | -5.508 |
| 7 | -3.098 |
| 8 | -5.278 |